GGA-PBEsol Cd3Ga, relaxed; uncorrected energy = -1.693 eV/atom; volume = 80.6 Å³/cell; ΔH_f (0 K) = 39.3 meV/atom; spin magnetization = 0.000 μB/atom
1.0
-2.173 2.173 4.269
2.173 -2.173 4.269
2.173 2.173 -4.269
Cd Ga
3 1
Direct
0.000 0.000 0.000 Cd
0.250 0.750 0.500 Cd
0.750 0.250 0.500 Cd
0.500 0.500 0.000 Ga

GGA-PBEsol LaTl2Sn, relaxed; uncorrected energy = -4.000 eV/atom; volume = 111.3 Å³/cell; ΔH_f (0 K) = -283.7 meV/atom; spin magnetization = 0.000 μB/atom
1.0
0.000 3.818 3.818
3.818 0.000 3.818
3.818 3.818 0.000
La Tl Sn
1 2 1
Direct
0.000 0.000 0.000 La
0.250 0.250 0.250 Tl
0.750 0.750 0.750 Tl
0.500 0.500 0.500 Sn

GGA-PBEsol BaTlH3, relaxed; uncorrected energy = -2.764 eV/atom; volume = 117.8 Å³/cell; spin magnetization = 0.000 μB/atom
1.0
4.902 0.000 0.000
0.000 4.902 0.000
0.000 0.000 4.902
Ba Tl H
1 1 3
Direct
0.000 0.000 0.000 Ba
0.500 0.500 0.500 Tl
0.000 0.000 0.500 H
0.000 0.500 0.000 H
0.500 0.000 0.000 H

GGA-PBEsol CoAs2W, relaxed; uncorrected energy = -7.876 eV/atom; volume = 58.4 Å³/cell; ΔH_f (0 K) = 63.6 meV/atom; spin magnetization = 0.000 μB/atom
1.0
-1.618 1.659 5.439
1.618 -1.659 5.439
1.618 1.659 -5.439
Co As W
1 2 1
Direct
0.000 0.000 0.000 Co
0.561 0.561 0.000 As
0.834 0.334 0.500 As
0.234 0.734 0.500 W

GGA-PBEsol Zn2NiIr, relaxed; uncorrected energy = -4.924 eV/atom; volume = 51.3 Å³/cell; ΔH_f (0 K) = -137.5 meV/atom; spin magnetization = 0.000 μB/atom
1.0
1.352 0.781 8.105
-1.352 0.781 8.105
0.000 -1.561 8.105
Zn Ni Ir
2 1 1
Direct
0.246 0.246 0.246 Zn
0.754 0.754 0.754 Zn
0.500 0.500 0.500 Ni
0.000 0.000 0.000 Ir

GGA-PBEsol KPdF2, relaxed; uncorrected energy = -3.971 eV/atom; volume = 56.0 Å³/cell; spin magnetization = 0.251 μB/atom
1.0
0.000 3.037 3.037
3.037 0.000 3.037
3.037 3.037 0.000
K Pd F
1 1 2
Direct
0.000 0.000 0.000 K
0.500 0.500 0.500 Pd
0.250 0.250 0.250 F
0.750 0.750 0.750 F